{"formula": "HoHfHg2", "functional": "PBE-GGA", "state": "optimized geometry", "energy_ev_per_cell": -15.94, "spacegroup": "P4/mmm (123)", "e_above_lowest_polymorph_mev_per_atom": 0.0, "lattice": [[-3.2994, -0.5212, -1.3283], [1.4212, -1.4980, -2.9425], [-0.2530, -6.4306, 3.1516]], "species": ["Hf", "Hg", "Hg", "Ho"], "frac_coords": [[0.5000, 0.5000, 0.0000], [0.0000, 0.0000, 0.7670], [0.0000, 0.0000, 0.2330], [0.5000, 0.5000, 0.5000]]}